No. 1
SrHgCl after structural relaxation, computed with PBE.

Results
Excess energy over the best structure of this formula in the dataset in meV per atom: 0.0
V in Å³/f.u.: 93.6

a b c (Å): 4.7498 4.7498 9.9200
angles (deg): 103.90 103.90 60.60
With the nearest neighbours (Å) after each atom.
Element x y z (fractional)
Sr (0.0895, 0.0895, 0.2708)  4 Cl 2.98-3.22
Sr (0.9105, 0.9105, 0.7292)  4 Cl 2.98-3.22
Hg (0.3504, 0.3504, 0.0533)  3 Hg 2.93
Hg (0.6496, 0.6496, 0.9467)  3 Hg 2.93
Cl (0.2047, 0.2047, 0.6089)  4 Sr 2.98-3.22
Cl (0.7953, 0.7953, 0.3911)  4 Sr 2.98-3.22

No. 2
CeSbSe3 after structural relaxation, computed with PBE.

Results
Excess energy over the best structure of this formula in the dataset in meV per atom: 0.0
V in Å³/f.u.: 142.9

a b c (Å): 8.1782 4.1536 8.4150
angles (deg): 90.00 90.90 90.00
With the nearest neighbours (Å) after each atom.
Element x y z (fractional)
Ce (0.1136, 0.2500, 0.2163)  8 Se 2.93-3.24
Ce (0.8864, 0.7500, 0.7837)  8 Se 2.93-3.24
Sb (0.3446, 0.7500, 0.6648)  4 Se 2.73-2.98
Sb (0.6554, 0.2500, 0.3352)  4 Se 2.73-2.98
Se (0.1196, 0.2500, 0.6009)  2 Sb 2.82
Se (0.1891, 0.7500, 0.9822)  3 Ce 2.93-2.96, 1 Sb 2.98
Se (0.3722, 0.7500, 0.3425)  1 Sb 2.73
Se (0.6278, 0.2500, 0.6575)  1 Sb 2.73
Se (0.8109, 0.2500, 0.0178)  3 Ce 2.93-2.96, 1 Sb 2.98
Se (0.8804, 0.7500, 0.3991)  2 Sb 2.82

No. 3
K3Ga5O12 after structural relaxation, computed with PBE.

Results
V in Å³/f.u.: 281.1

a b c (Å): 11.3458 11.3458 11.3458
angles (deg): 109.47 109.47 109.47
With the nearest neighbours (Å) after each atom.
Element x y z (fractional)
K (0.1250, 0.2500, 0.3750)  8 O 2.64-2.83
K (0.1250, 0.3750, 0.7500)  8 O 2.64-2.83
K (0.2500, 0.3750, 0.1250)  8 O 2.64-2.83
K (0.2500, 0.8750, 0.6250)  8 O 2.64-2.83
K (0.3750, 0.1250, 0.2500)  8 O 2.64-2.83
K (0.3750, 0.7500, 0.1250)  8 O 2.64-2.83
K (0.6250, 0.2500, 0.8750)  8 O 2.64-2.83
K (0.6250, 0.8750, 0.7500)  8 O 2.64-2.83
K (0.7500, 0.1250, 0.3750)  8 O 2.64-2.83
K (0.7500, 0.6250, 0.8750)  8 O 2.64-2.83
K (0.8750, 0.6250, 0.2500)  8 O 2.64-2.83
K (0.8750, 0.7500, 0.6250)  8 O 2.64-2.83
Ga (0.0000, 0.0000, 0.0000)  6 O 1.99
Ga (0.0000, 0.0000, 0.5000)  6 O 1.99
Ga (0.0000, 0.5000, 0.0000)  6 O 1.99
Ga (0.0000, 0.5000, 0.5000)  6 O 1.99
Ga (0.1250, 0.7500, 0.8750)  4 O 1.87
Ga (0.1250, 0.8750, 0.2500)  4 O 1.87
Ga (0.2500, 0.1250, 0.8750)  4 O 1.87
Ga (0.2500, 0.6250, 0.3750)  4 O 1.87
Ga (0.3750, 0.2500, 0.6250)  4 O 1.87
Ga (0.3750, 0.6250, 0.7500)  4 O 1.87
Ga (0.5000, 0.0000, 0.0000)  6 O 1.99
Ga (0.5000, 0.0000, 0.5000)  6 O 1.99
Ga (0.5000, 0.5000, 0.0000)  6 O 1.99
Ga (0.5000, 0.5000, 0.5000)  6 O 1.99
Ga (0.6250, 0.3750, 0.2500)  4 O 1.87
Ga (0.6250, 0.7500, 0.3750)  4 O 1.87
Ga (0.7500, 0.3750, 0.6250)  4 O 1.87
Ga (0.7500, 0.8750, 0.1250)  4 O 1.87
Ga (0.8750, 0.1250, 0.7500)  4 O 1.87
Ga (0.8750, 0.2500, 0.1250)  4 O 1.87
O (0.0018, 0.6820, 0.1027)  2 Ga 1.87-1.99
O (0.0018, 0.8198, 0.8991)  2 Ga 1.87-1.99
O (0.0793, 0.6802, 0.6820)  2 Ga 1.87-1.99
O (0.0793, 0.8991, 0.3973)  2 Ga 1.87-1.99
O (0.1009, 0.6027, 0.9207)  2 Ga 1.87-1.99
O (0.1009, 0.9982, 0.1802)  2 Ga 1.87-1.99
O (0.1027, 0.0018, 0.6820)  2 Ga 1.87-1.99
O (0.1027, 0.6009, 0.4207)  2 Ga 1.87-1.99
O (0.1802, 0.1009, 0.9982)  2 Ga 1.87-1.99
O (0.1802, 0.5793, 0.1820)  2 Ga 1.87-1.99
O (0.1820, 0.1802, 0.5793)  2 Ga 1.87-1.99
O (0.1820, 0.5018, 0.6027)  2 Ga 1.87-1.99
O (0.3180, 0.8973, 0.9982)  2 Ga 1.87-1.99
O (0.3180, 0.9207, 0.3198)  2 Ga 1.87-1.99
O (0.3198, 0.3180, 0.9207)  2 Ga 1.87-1.99
O (0.3198, 0.5018, 0.3991)  2 Ga 1.87-1.99
O (0.3973, 0.0793, 0.8991)  2 Ga 1.87-1.99
O (0.3973, 0.8180, 0.4982)  2 Ga 1.87-1.99
O (0.3991, 0.3198, 0.5018)  2 Ga 1.87-1.99
O (0.3991, 0.5793, 0.8973)  2 Ga 1.87-1.99
O (0.4207, 0.1027, 0.6009)  2 Ga 1.87-1.99
O (0.4207, 0.8180, 0.8198)  2 Ga 1.87-1.99
O (0.4982, 0.3973, 0.8180)  2 Ga 1.87-1.99
O (0.4982, 0.6009, 0.6802)  2 Ga 1.87-1.99
O (0.5018, 0.3991, 0.3198)  2 Ga 1.87-1.99
O (0.5018, 0.6027, 0.1820)  2 Ga 1.87-1.99
O (0.5793, 0.1820, 0.1802)  2 Ga 1.87-1.99
O (0.5793, 0.8973, 0.3991)  2 Ga 1.87-1.99
O (0.6009, 0.4207, 0.1027)  2 Ga 1.87-1.99
O (0.6009, 0.6802, 0.4982)  2 Ga 1.87-1.99
O (0.6027, 0.1820, 0.5018)  2 Ga 1.87-1.99
O (0.6027, 0.9207, 0.1009)  2 Ga 1.87-1.99
O (0.6802, 0.4982, 0.6009)  2 Ga 1.87-1.99
O (0.6802, 0.6820, 0.0793)  2 Ga 1.87-1.99
O (0.6820, 0.0793, 0.6802)  2 Ga 1.87-1.99
O (0.6820, 0.1027, 0.0018)  2 Ga 1.87-1.99
O (0.8180, 0.4982, 0.3973)  2 Ga 1.87-1.99
O (0.8180, 0.8198, 0.4207)  2 Ga 1.87-1.99
O (0.8198, 0.4207, 0.8180)  2 Ga 1.87-1.99
O (0.8198, 0.8991, 0.0018)  2 Ga 1.87-1.99
O (0.8973, 0.3991, 0.5793)  2 Ga 1.87-1.99
O (0.8973, 0.9982, 0.3180)  2 Ga 1.87-1.99
O (0.8991, 0.0018, 0.8198)  2 Ga 1.87-1.99
O (0.8991, 0.3973, 0.0793)  2 Ga 1.87-1.99
O (0.9207, 0.1009, 0.6027)  2 Ga 1.87-1.99
O (0.9207, 0.3198, 0.3180)  2 Ga 1.87-1.99
O (0.9982, 0.1802, 0.1009)  2 Ga 1.87-1.99
O (0.9982, 0.3180, 0.8973)  2 Ga 1.87-1.99

| no. | total DFT energy (no corrections) (eV per cell) |
| --- | --- |
| 1 | -15.9 |
| 2 | -51.0 |
| 3 | -405.7 |